Below is a relaxed Cd2Sb2O crystal, with properties calculated at the GGA-PBE level.

a b c (Å): 6.198 6.198 6.053
angles (deg): 90.00 90.00 90.00
Positions (direct):
Sb (0.698, 0.198, 0.500)
Sb (0.802, 0.698, 0.500)
Sb (0.198, 0.302, 0.500)
Sb (0.302, 0.802, 0.500)
Cd (0.320, 0.820, 0.000)
Cd (0.680, 0.180, 0.000)
Cd (0.820, 0.680, 0.000)
Cd (0.180, 0.320, 0.000)
O (0.500, 0.500, 0.000)
O (0.000, 0.000, 0.000)

**ΔE_f (raw)**: -2.6 kcal/mol of atoms
**Space-group type**: No. 127
**Calculated total energy**: -0.229 Ry/atom

***

Below is a relaxed CdSb2O4 crystal, with properties calculated at the GGA-PBE level.

a b c (Å): 5.892 5.635 9.162
angles (deg): 90.00 116.20 90.00
Positions (direct):
Sb (0.757, 0.750, 0.468)
Sb (0.243, 0.250, 0.532)
Sb (0.512, 0.750, 0.832)
Sb (0.488, 0.250, 0.168)
O (0.508, 0.484, 0.687)
O (0.004, 0.750, 0.382)
O (0.123, 0.250, 0.067)
O (0.877, 0.750, 0.933)
O (0.508, 0.016, 0.687)
O (0.492, 0.984, 0.313)
O (0.996, 0.250, 0.618)
O (0.492, 0.516, 0.313)
Cd (0.878, 0.250, 0.811)
Cd (0.122, 0.750, 0.189)

**ΔE_f (raw)**: -27.2 kcal/mol of atoms
**Space-group type**: No. 11
**Calculated total energy**: -0.391 Ry/atom